The following is a PBE-GGA calculation of crystalline LiAg5Se4 at its relaxed geometry, from Alexandria.

a b c (Å): 16.7282 4.0414 7.0909
angles (deg): 90.00 115.04 90.00
Space group C2/m (No. 12)
Symmetry-distinct sites (fractional):
Li1 0.0000 0.0000 0.0000 x2
Ag1 0.0000 0.0000 0.5000 x2
Ag2 0.1742 0.5000 0.4609 x4
Ag3 0.1746 0.5000 0.8891 x4
Se1 0.9998 0.5000 0.2514 x4
Se2 0.1856 0.0000 0.1861 x4

Computed properties:
* size of the total moment: 0.00 μB/f.u.
* calculated volume: 434.3 Å³/cell
* DFT total energy: -63.815 eV/cell
* density: 6.592 g/cm3
* DOS(E_F): 0.597 states/eV per atom
* formation energy from raw total energies: -17 kJ per mole of atoms